Entry 1:
This record from Alexandria via LeMat-Bulk describes a geometry-optimized BaYAg structure. The functional is PBE-GGA.

The value obtained for the energy relative to the lowest polymorph listed for this composition is 0.265 eV per atom. The value obtained for the electronic total energy is -10.70 eV for the cell shown. Its total magnetization is 0.001 μB/f.u. The energy relative to the elements comes out at 0.181 eV/atom.

The structure in POSCAR format:
```
BaYAg
1.0
-3.555 -3.018 2.746
0.313 -5.399 -0.195
1.605 -2.776 4.359
Ag Ba Y
1 1 1
Direct
0.750 0.750 0.750
0.000 0.000 0.000
0.500 0.500 0.500
```

Entry 2:
This record from Alexandria via LeMat-Bulk describes a geometry-optimized CaSnTeI2 structure. The functional is PBE-GGA.

The value obtained for the energy relative to the lowest polymorph listed for this composition is 0.029 eV per atom. The value obtained for the electronic total energy is -14.32 eV for the cell shown. Its total magnetization is 0.000 μB/f.u. The uncorrected formation energy comes out at -2.07 eV/f.u.

The structure in POSCAR format:
```
CaSnTeI2
1.0
5.918 0.000 0.000
0.000 5.918 0.000
0.000 0.000 6.059
I Ca Te Sn
2 1 1 1
Direct
0.000 0.500 0.000
0.500 0.000 0.000
0.500 0.500 0.500
0.000 0.000 0.500
0.000 0.000 0.000
```

Entry 3:
This record from Alexandria via LeMat-Bulk describes a geometry-optimized KYSi2 structure. The functional is PBE-GGA.

The value obtained for the energy relative to the lowest polymorph listed for this composition is 0.073 eV per atom. The value obtained for the electronic total energy is -19.12 eV for the cell shown. Its total magnetization is 0.000 μB/f.u. The uncorrected formation energy comes out at -0.71 eV/f.u.

The structure in POSCAR format:
```
KYSi2
1.0
-5.124 -0.380 1.214
-3.473 -3.876 0.886
-1.472 -1.378 7.267
K Si Y
1 2 1
Direct
0.250 0.250 0.250
0.000 0.000 0.849
0.500 0.500 0.651
0.750 0.750 0.750
```

Entry 4:
This record from Alexandria via LeMat-Bulk describes a geometry-optimized CuHOs2F structure. The functional is PBE-GGA.

The value obtained for the electronic total energy is -21.13 eV for the cell shown. Its total magnetization is 5.341 μB/f.u.

The structure in POSCAR format:
```
CuHOs2F
1.0
-0.202 -3.357 3.356
-0.315 -2.566 -2.585
4.730 -0.432 -0.147
H Os Cu F
1 2 1 1
Direct
0.500 0.500 0.500
0.000 0.000 0.500
0.500 0.000 0.000
0.000 0.000 0.000
0.000 0.500 0.000
```

Entry 5:
This record from Alexandria via LeMat-Bulk describes a geometry-optimized CuAs2Br structure. The functional is PBE-GGA.

The value obtained for the energy relative to the lowest polymorph listed for this composition is 0.532 eV per atom. The value obtained for the electronic total energy is -13.04 eV for the cell shown. Its total magnetization is 0.000 μB/f.u. The uncorrected formation energy comes out at 2.03 eV/f.u.

The structure in POSCAR format:
```
CuAs2Br
1.0
-2.335 1.595 1.200
-2.189 0.384 -4.768
-2.374 -4.050 0.764
As Br Cu
2 1 1
Direct
0.000 0.000 0.000
0.500 0.500 0.000
0.500 0.000 0.500
0.000 0.500 0.500
```

Entry 6:
This record from Alexandria via LeMat-Bulk describes a geometry-optimized CaCdSn structure. The functional is PBE-GGA.

The value obtained for the electronic total energy is -6.35 eV for the cell shown. Its total magnetization is 0.000 μB/f.u. The energy relative to the elements comes out at 0.190 eV/atom.

The structure in POSCAR format:
```
CaCdSn
1.0
-3.066 1.009 0.546
-1.084 -2.035 -2.324
1.070 -5.783 6.872
Ca Sn Cd
1 1 1
Direct
0.950 0.950 0.901
0.767 0.767 0.534
0.133 0.133 0.265
```

Entry 7:
This record from Alexandria via LeMat-Bulk describes a geometry-optimized ZrNiPt3 structure. The functional is PBE-GGA.

The value obtained for the energy relative to the lowest polymorph listed for this composition is 0.000 eV per atom. The value obtained for the electronic total energy is -144.71 eV for the cell shown. Its total magnetization is 0.001 μB/f.u. The energy relative to the elements comes out at -0.745 eV/atom.

The structure in POSCAR format:
```
ZrNiPt3
1.0
-3.292 2.182 0.268
-0.150 -0.906 5.546
7.835 11.563 2.099
Zr Ni Pt
4 4 12
Direct
0.250 0.119 0.353
0.750 0.881 0.647
0.750 0.381 0.853
0.250 0.619 0.147
0.250 0.623 0.551
0.750 0.377 0.449
0.750 0.877 0.051
0.250 0.123 0.949
0.750 0.368 0.253
0.250 0.641 0.953
0.250 0.113 0.142
0.250 0.613 0.358
0.250 0.141 0.547
0.750 0.387 0.642
0.250 0.132 0.753
0.750 0.887 0.858
0.750 0.359 0.047
0.750 0.868 0.247
0.750 0.859 0.453
0.250 0.632 0.747
```

Entry 8:
This record from Alexandria via LeMat-Bulk describes a geometry-optimized Mg2Ag6Sn structure. The functional is PBE-GGA.

The value obtained for the energy relative to the lowest polymorph listed for this composition is 0.000 eV per atom. The value obtained for the electronic total energy is -25.41 eV for the cell shown. Its total magnetization is 0.000 μB/f.u. The energy relative to the elements comes out at -0.124 eV/atom.

The structure in POSCAR format:
```
Mg2Ag6Sn
1.0
-0.526 4.041 -1.453
-4.640 1.058 -1.818
-4.470 4.088 6.549
Mg Ag Sn
2 6 1
Direct
0.326 0.610 0.737
0.674 0.390 0.263
0.665 0.725 0.945
0.335 0.275 0.055
0.002 0.834 0.162
0.335 0.946 0.384
0.998 0.166 0.838
0.665 0.054 0.616
0.000 0.500 0.500
```